Y4Ag3Rh: relaxed, PBE.

abc: 3.5701 3.5701 14.5493
angles: 90.00 90.00 90.00
Closest atoms and distances in Å follow each position.
Element x y z (fractional)
Y: 0.0000 0.0000 0.8871  4 Rh 3.01, 4 Ag 3.17, 1 Y 3.29
Y: 0.0000 0.0000 0.1129  4 Rh 3.01, 4 Ag 3.17, 1 Y 3.29
Y: 0.0000 0.0000 0.3705  8 Ag 3.12-3.15
Y: 0.0000 0.0000 0.6295  8 Ag 3.12-3.15
Rh: 0.5000 0.5000 0.0000  8 Y 3.01
Ag: 0.5000 0.5000 0.2445  8 Y 3.12-3.17
Ag: 0.5000 0.5000 0.5000  8 Y 3.15
Ag: 0.5000 0.5000 0.7555  8 Y 3.12-3.17

Calculated values
* ρ: 7004 kg/m3
* space-group type: P4/mmm (123)
* magnetic moment: 0.00 μB/f.u.
* E: -45.4 eV/f.u.
* energy of formation from the pure elements: -458 meV per atom